Entry from Alexandria via LeMat-Bulk: an optimized crystal structure of Y2Mg3Cd (GGA-PBE).

## Properties
Mass density (g/cm³): 3.9
Total magnetic moment (μB/cell): 0.00
ΔH_f (0 K) (eV per atom): -0.15
Uncorrected energy (eV/atom): -3.2567
Energy above the lowest structure with this stoichiometry (eV/f.u.): 0.034

```
Y2Mg3Cd
1.0
3.411 0.000 0.000
0.000 5.123 0.000
0.000 0.000 8.850
Y Mg Cd
2 3 1
direct
0.000 0.000 0.000
0.000 0.500 0.489
0.500 0.000 0.661
0.500 0.500 0.161
0.500 0.500 0.826
0.500 0.000 0.329
```

---

Entry from Alexandria via LeMat-Bulk: an optimized crystal structure of ReSb7 (GGA-PBE).

## Properties
Mass density (g/cm³): 8.7
Total magnetic moment (μB/cell): 0.22
Uncorrected energy (eV/atom): -4.4724
Formation energy without anion corrections (eV per atom): 0.691

```
ReSb7
1.0
0.000 4.631 4.631
4.631 0.000 4.631
4.631 4.631 0.000
Re Sb
1 7
direct
0.000 0.000 0.000
0.000 0.000 0.500
0.000 0.500 0.000
0.000 0.500 0.500
0.500 0.000 0.000
0.500 0.000 0.500
0.500 0.500 0.000
0.500 0.500 0.500
```

---

Entry from Alexandria via LeMat-Bulk: an optimized crystal structure of VZn2MoOs (GGA-PBE).

## Properties
Mass density (g/cm³): 7.4
Total magnetic moment (μB/cell): 0.49
ΔH_f (0 K) (eV per atom): 1.69
Uncorrected energy (eV/atom): -5.0589

```
VZn2MoOs
1.0
4.739 0.000 0.000
0.000 4.739 0.000
0.000 0.000 4.647
V Zn Mo Os
1 2 1 1
direct
0.000 0.000 0.000
0.000 0.500 0.500
0.500 0.000 0.500
0.500 0.500 0.500
0.500 0.500 0.000
```

---

Entry from Alexandria via LeMat-Bulk: an optimized crystal structure of LiGa3Cu (GGA-PBE).

## Properties
Mass density (g/cm³): 5.8
Total magnetic moment (μB/cell): 0.00
ΔH_f (0 K) (eV per atom): -0.14
Uncorrected energy (eV/atom): -3.1561
Energy above the lowest structure with this stoichiometry (eV/f.u.): 0.000

```
LiGa3Cu
1.0
8.096 0.000 0.000
0.000 4.296 0.000
-1.914 0.000 9.174
Li Ga Cu
4 12 4
direct
0.107 0.249 0.242
0.107 0.251 0.742
0.893 0.749 0.258
0.893 0.751 0.758
0.109 0.750 0.045
0.109 0.750 0.545
0.298 0.749 0.336
0.298 0.751 0.836
0.340 0.250 0.045
0.340 0.250 0.545
0.660 0.750 0.455
0.660 0.750 0.955
0.702 0.249 0.164
0.702 0.251 0.664
0.891 0.250 0.455
0.891 0.250 0.955
0.469 0.249 0.318
0.469 0.251 0.818
0.531 0.749 0.182
0.531 0.751 0.682
```

---

Entry from Alexandria via LeMat-Bulk: an optimized crystal structure of TlHg2N (GGA-PBE).

## Properties
Mass density (g/cm³): 9.8
Total magnetic moment (μB/cell): 0.00
Uncorrected energy (eV/atom): -2.1703
Formation energy without anion corrections (eV per atom): 0.653
Energy above the lowest structure with this stoichiometry (eV/f.u.): 0.000

```
TlHg2N
1.0
6.309 0.000 0.000
0.000 4.001 0.000
-2.889 0.000 8.339
Tl Hg N
2 4 2
direct
0.154 0.250 0.410
0.846 0.750 0.590
0.170 0.250 0.926
0.464 0.750 0.736
0.536 0.250 0.264
0.830 0.750 0.074
0.153 0.750 0.845
0.847 0.250 0.155
```

---

Entry from Alexandria via LeMat-Bulk: an optimized crystal structure of Cs2KNpO5 (GGA-PBE).

## Properties
Mass density (g/cm³): 5.3
Total magnetic moment (μB/cell): 0.00
Uncorrected energy (eV/atom): -6.7199
Formation energy without anion corrections (eV per atom): -2.216

```
Cs2KNpO5
1.0
-2.184 3.238 6.950
2.184 -3.238 6.950
2.184 3.238 -6.950
Cs K Np O
2 1 1 5
direct
0.225 0.225 0.000
0.775 0.775 0.000
0.500 0.000 0.500
0.000 0.500 0.500
0.000 0.000 0.000
0.113 0.399 0.714
0.315 0.601 0.714
0.685 0.399 0.286
0.887 0.601 0.286
```

---

Entry from Alexandria via LeMat-Bulk: an optimized crystal structure of YAuO2 (GGA-PBE).

## Properties
Mass density (g/cm³): 9.9
Total magnetic moment (μB/cell): 0.00
Uncorrected energy (eV/atom): -6.3865
Formation energy without anion corrections (eV per atom): -1.472

```
YAuO2
1.0
0.000 2.988 2.988
2.988 0.000 2.988
2.988 2.988 0.000
Y Au O
1 1 2
direct
0.000 0.000 0.000
0.500 0.500 0.500
0.250 0.250 0.250
0.750 0.750 0.750
```

---

Entry from Alexandria via LeMat-Bulk: an optimized crystal structure of YZnCr2 (GGA-PBE).

## Properties
Mass density (g/cm³): 6.2
Total magnetic moment (μB/cell): 0.12
ΔH_f (0 K) (eV per atom): 0.15
Uncorrected energy (eV/atom): -6.5986

```
YZnCr2
1.0
3.108 0.000 0.000
0.000 3.108 0.000
0.000 0.000 7.117
Y Zn Cr
1 1 2
direct
0.000 0.000 0.000
0.500 0.500 0.690
0.000 0.000 0.463
0.500 0.500 0.311
```

---

Entry from Alexandria via LeMat-Bulk: an optimized crystal structure of TbMn3Si3 (GGA-PBE).

## Properties
Mass density (g/cm³): 5.4
Total magnetic moment (μB/cell): 7.75
Uncorrected energy (eV/atom): -6.7242
Formation energy without anion corrections (eV per atom): 0.191

```
TbMn3Si3
1.0
6.314 0.000 0.000
0.000 6.314 0.000
0.000 0.000 6.314
Tb Mn Si
2 6 6
direct
0.000 0.000 0.000
0.500 0.500 0.500
0.000 0.250 0.500
0.000 0.750 0.500
0.250 0.500 0.000
0.500 0.000 0.250
0.500 0.000 0.750
0.750 0.500 0.000
0.000 0.500 0.250
0.000 0.500 0.750
0.250 0.000 0.500
0.500 0.250 0.000
0.500 0.750 0.000
0.750 0.000 0.500
```

---

Entry from Alexandria via LeMat-Bulk: an optimized crystal structure of ScCr2Cl (GGA-PBE).

## Properties
Mass density (g/cm³): 3.8
Total magnetic moment (μB/cell): 8.36
Uncorrected energy (eV/atom): -6.3633
Formation energy without anion corrections (eV per atom): 0.493
Energy above the lowest structure with this stoichiometry (eV/f.u.): 2.745

```
ScCr2Cl
1.0
2.697 -4.725 0.000
2.697 4.725 0.000
0.000 0.000 3.172
Sc Cr Cl
1 2 1
direct
0.000 0.000 0.000
0.000 0.500 0.500
0.500 0.000 0.500
0.500 0.500 0.000
```

---

Entry from Alexandria via LeMat-Bulk: an optimized crystal structure of AgHg2Pb2 (GGA-PBE).

## Properties
Mass density (g/cm³): 11.8
Total magnetic moment (μB/cell): 0.00
ΔH_f (0 K) (eV per atom): 0.05
Uncorrected energy (eV/atom): -2.1262
Energy above the lowest structure with this stoichiometry (eV/f.u.): 0.000

```
AgHg2Pb2
1.0
3.429 0.000 0.000
1.704 6.048 0.000
1.705 -0.001 6.275
Ag Hg Pb
1 2 2
direct
0.000 0.000 0.000
0.413 0.356 0.816
0.587 0.644 0.184
0.211 0.216 0.364
0.789 0.784 0.636
```